CoSiMo: optimized geometry, PBEsol.

Results
DFT total energy in eV/atom: -8.8506
Space-group type: Amm2
Formation energy (no corrections) in eV/atom: -0.433
Size of the total moment in μB/f.u.: 0.000
DOS(E_F) in states/eV/cell: 7.70

POSCAR file:
```
CoSiMo
1.0
4.717 -0.005 0.000
-2.284 4.128 0.000
0.000 0.000 7.369
Co Si Mo
4 4 4
direct
0.998 0.002 0.261
0.998 0.002 0.739
0.839 0.649 0.000
0.351 0.161 0.000
0.840 0.160 0.000
0.165 0.342 0.500
0.658 0.835 0.500
0.167 0.833 0.500
0.663 0.337 0.684
0.330 0.670 0.814
0.330 0.670 0.186
0.663 0.337 0.316
```

***

ScAl2Tc: optimized geometry, PBEsol.

Results
E above lowest polymorph in meV/atom: 89
DFT total energy in eV/atom: -6.8123
Space-group type: Cm
Size of the total moment in μB/f.u.: 0.000
DOS(E_F) in states/eV/cell: 2.52

POSCAR file:
```
ScAl2Tc
1.0
3.378 0.000 0.000
0.000 4.374 -0.058
-1.689 -1.996 4.343
Sc Tc Al
1 1 2
direct
0.510 0.520 0.021
0.256 0.742 0.512
0.990 0.005 0.981
0.743 0.233 0.487
```

***

RbAuF2: optimized geometry, PBEsol.

Results
DFT total energy in eV/atom: -3.8386
Space-group type: P-1
Formation energy (no corrections) in eV/atom: -1.638
Size of the total moment in μB/f.u.: 0.000
DOS(E_F) in states/eV/cell: 0.00

POSCAR file:
```
RbAuF2
1.0
-1.031 3.099 -2.674
-3.982 0.481 -1.097
-2.555 5.179 3.859
Au Rb F
1 1 2
direct
0.000 0.000 0.000
0.500 0.500 0.500
0.901 0.898 0.303
0.099 0.102 0.697
```

***

Mg2InCl: optimized geometry, PBEsol.

Results
E above lowest polymorph in meV/atom: 150
DFT total energy in eV/atom: -2.4216
Space-group type: Pmmm
Formation energy (no corrections) in eV/atom: -0.315
Size of the total moment in μB/f.u.: 0.000
DOS(E_F) in states/eV/cell: 1.52

POSCAR file:
```
Mg2InCl
1.0
3.213 0.000 0.000
0.000 5.066 0.000
0.000 0.000 5.702
Cl In Mg
1 1 2
direct
0.500 0.500 0.000
0.000 0.500 0.500
0.000 0.000 0.000
0.500 0.000 0.500
```

***

TlBiSb2: optimized geometry, PBEsol.

Results
E above lowest polymorph in meV/atom: 0
DFT total energy in eV/atom: -3.8767
Space-group type: Fm-3m
Formation energy (no corrections) in eV/atom: 0.131
Size of the total moment in μB/f.u.: 0.000
DOS(E_F) in states/eV/cell: 2.57

POSCAR file:
```
TlBiSb2
1.0
5.384 0.000 0.000
2.692 4.662 0.000
2.692 1.554 4.396
Sb Tl Bi
2 1 1
direct
0.250 0.250 0.250
0.750 0.750 0.750
0.000 0.000 0.000
0.500 0.500 0.500
```

***

Cs2FeH12S2O14: optimized geometry, PBEsol.

Results
DFT total energy in eV/atom: -5.5843
Space-group type: P2_1/c
Size of the total moment in μB/f.u.: 4.000
DOS(E_F) in states/eV/cell: 12.61

POSCAR file:
```
Cs2FeH12S2O14
1.0
6.336 -0.009 0.000
-2.583 8.821 0.000
0.000 0.000 12.716
H O S Fe Cs
24 28 4 2 4
direct
0.689 0.476 0.644
0.311 0.024 0.144
0.311 0.524 0.356
0.689 0.976 0.856
0.664 0.602 0.564
0.336 0.898 0.064
0.081 0.784 0.403
0.919 0.716 0.903
0.919 0.216 0.597
0.081 0.284 0.097
0.910 0.260 0.369
0.090 0.240 0.869
0.090 0.740 0.631
0.910 0.760 0.131
0.674 0.289 0.399
0.326 0.211 0.899
0.326 0.711 0.601
0.674 0.789 0.101
0.979 0.844 0.813
0.021 0.656 0.313
0.664 0.102 0.936
0.336 0.398 0.436
0.979 0.344 0.687
0.021 0.156 0.187
0.166 0.161 0.884
0.166 0.661 0.616
0.996 0.176 0.111
0.004 0.324 0.611
0.004 0.824 0.889
0.996 0.676 0.389
0.706 0.005 0.932
0.834 0.839 0.116
0.294 0.995 0.068
0.706 0.505 0.568
0.057 0.140 0.319
0.943 0.360 0.819
0.943 0.860 0.681
0.057 0.640 0.181
0.399 0.234 0.418
0.601 0.266 0.918
0.601 0.766 0.582
0.399 0.734 0.082
0.203 0.968 0.424
0.797 0.532 0.924
0.797 0.032 0.576
0.203 0.468 0.076
0.390 0.079 0.264
0.610 0.421 0.764
0.610 0.921 0.736
0.390 0.579 0.236
0.834 0.339 0.384
0.294 0.495 0.432
0.740 0.397 0.856
0.260 0.103 0.356
0.740 0.897 0.644
0.260 0.603 0.144
0.000 0.500 0.500
0.000 0.000 0.000
0.648 0.867 0.354
0.352 0.633 0.854
0.352 0.133 0.646
0.648 0.367 0.146
```

***

PO2: optimized geometry, PBEsol.

Results
DFT total energy in eV/atom: -7.2386
Space-group type: C2/c
Formation energy (no corrections) in eV/atom: -1.809
Size of the total moment in μB/f.u.: 0.000
DOS(E_F) in states/eV/cell: 0.00

POSCAR file:
```
PO2
1.0
-3.046 -0.976 6.092
-2.663 -5.876 -2.393
6.737 -2.909 1.984
O P
16 8
direct
0.606 0.394 0.750
0.394 0.606 0.250
0.968 0.032 0.750
0.032 0.968 0.250
0.692 0.114 0.531
0.886 0.308 0.969
0.308 0.886 0.469
0.114 0.692 0.031
0.626 0.052 0.841
0.948 0.374 0.659
0.374 0.948 0.159
0.052 0.626 0.341
0.714 0.763 0.619
0.237 0.286 0.881
0.286 0.237 0.381
0.763 0.714 0.119
0.638 0.288 0.933
0.712 0.362 0.567
0.362 0.712 0.067
0.288 0.638 0.433
0.742 0.971 0.680
0.029 0.258 0.820
0.258 0.029 0.320
0.971 0.742 0.180
```

***

Cd2ReBH: optimized geometry, PBEsol.

Results
DFT total energy in eV/atom: -3.5321
Space-group type: P4/mmm
Size of the total moment in μB/f.u.: 0.002
DOS(E_F) in states/eV/cell: 3.38

POSCAR file:
```
Cd2ReBH
1.0
-1.211 -2.428 -1.640
4.429 -0.297 -2.832
2.015 -3.373 3.505
Re B H Cd
1 1 1 2
direct
0.000 0.000 0.000
0.500 0.500 0.500
0.500 0.000 0.000
0.000 0.000 0.500
0.000 0.500 0.000
```

***

Pb3Se2Br2O6: optimized geometry, PBEsol.

Results
DFT total energy in eV/atom: -5.2429
Space-group type: C2/c
Formation energy (no corrections) in eV/atom: -1.017
Size of the total moment in μB/f.u.: 0.000
DOS(E_F) in states/eV/cell: 0.00

POSCAR file:
```
Pb3Se2Br2O6
1.0
5.643 0.000 0.000
-2.821 6.693 0.091
0.000 -0.955 13.232
Br O Pb Se
4 12 6 4
direct
0.655 0.291 0.943
0.364 0.709 0.557
0.345 0.709 0.057
0.636 0.291 0.443
0.064 0.684 0.804
0.380 0.316 0.696
0.936 0.316 0.196
0.620 0.684 0.304
0.037 0.968 0.634
0.069 0.032 0.866
0.963 0.032 0.366
0.931 0.968 0.134
0.899 0.277 0.696
0.622 0.723 0.804
0.101 0.723 0.304
0.378 0.277 0.196
0.437 0.000 0.750
0.563 0.000 0.250
0.196 0.414 0.855
0.782 0.586 0.645
0.804 0.586 0.145
0.218 0.414 0.355
0.110 0.213 0.117
0.898 0.787 0.383
0.890 0.787 0.883
0.102 0.213 0.617
```

***

Bi2Ru2O7: optimized geometry, PBEsol.

Results
DFT total energy in eV/atom: -7.1425
Space-group type: Fd-3m
Formation energy (no corrections) in eV/atom: -1.173
Size of the total moment in μB/f.u.: 0.000
DOS(E_F) in states/eV/cell: 6.15

POSCAR file:
```
Bi2Ru2O7
1.0
-5.966 1.682 -3.752
0.114 -0.148 -7.243
-3.608 -5.167 -3.575
Bi Ru O
4 4 14
direct
0.625 0.125 0.625
0.625 0.625 0.125
0.625 0.625 0.625
0.125 0.625 0.625
0.125 0.625 0.125
0.125 0.125 0.625
0.125 0.125 0.125
0.625 0.125 0.125
0.750 0.750 0.750
0.500 0.500 0.500
0.453 0.047 0.453
0.203 0.797 0.203
0.453 0.453 0.047
0.453 0.047 0.047
0.047 0.453 0.453
0.047 0.047 0.453
0.047 0.453 0.047
0.203 0.797 0.797
0.797 0.203 0.203
0.797 0.203 0.797
0.203 0.203 0.797
0.797 0.797 0.203
```

***

TiNb3Ni: optimized geometry, PBEsol.

Results
DFT total energy in eV/atom: -8.5217
Space-group type: Pm-3m
Size of the total moment in μB/f.u.: 0.011
DOS(E_F) in states/eV/cell: 8.67

POSCAR file:
```
TiNb3Ni
1.0
-4.219 -1.767 -0.185
0.477 -1.588 4.267
-1.711 3.913 1.647
Ni Nb Ti
1 3 1
direct
0.000 0.000 0.000
0.000 0.500 0.000
0.000 0.000 0.500
0.500 0.000 0.000
0.500 0.500 0.500
```

***

TaAlO4: optimized geometry, PBEsol.

Results
DFT total energy in eV/atom: -9.1818
Space-group type: Cmmm
Formation energy (no corrections) in eV/atom: -2.908
Size of the total moment in μB/f.u.: 0.000
DOS(E_F) in states/eV/cell: 0.00

POSCAR file:
```
TaAlO4
1.0
-0.986 2.605 1.067
1.076 -1.326 4.231
4.148 1.809 -0.584
Al O Ta
1 4 1
direct
0.500 0.500 0.500
0.000 0.692 0.692
0.500 0.799 0.201
0.500 0.201 0.799
0.000 0.308 0.308
0.000 0.000 0.000
```